Tb2NdHo6Sc: optimized geometry, GGA-PBE.

Unit cell a=9.407 b=8.680 c=8.680 alpha=117.19 beta=93.67 gamma=93.67
Element x y z (fractional)
Ho 0.311 0.994 0.437
Ho 0.385 0.510 0.293
Ho 0.115 0.707 0.490
Ho 0.557 0.750 0.126
Ho 0.943 0.874 0.250
Ho 0.689 0.006 0.563
Ho 0.057 0.126 0.750
Nd 0.750 0.023 0.977
Ho 0.189 0.563 0.006
Ho 0.885 0.293 0.510
Ho 0.615 0.490 0.707
Sc 0.250 0.413 0.587
Tb 0.549 0.202 0.306
Tb 0.951 0.694 0.798
Ho 0.811 0.437 0.994
Sc 0.750 0.587 0.413
Tb 0.049 0.306 0.202
Nd 0.250 0.977 0.023
Ho 0.443 0.250 0.874
Tb 0.451 0.798 0.694

crystal system: monoclinic
formation enthalpy at 0 K: 127 meV/atom


Li5Ca2CdAg2: optimized geometry, GGA-PBE.

Unit cell a=4.336 b=10.172 c=10.172 alpha=90.00 beta=90.00 gamma=90.00
Element x y z (fractional)
Li 0.500 0.706 0.440
Ca 0.000 0.184 0.316
Ca 0.000 0.816 0.684
Cd 0.000 0.000 0.000
Li 0.500 0.206 0.060
Ag 0.000 0.609 0.891
Li 0.500 0.440 0.294
Ag 0.000 0.109 0.609
Li 0.500 0.060 0.794
Ag 0.000 0.891 0.391
Cd 0.000 0.500 0.500
Li 0.500 0.000 0.500
Li 0.500 0.940 0.206
Ca 0.000 0.316 0.816
Ca 0.000 0.684 0.184
Li 0.500 0.500 0.000
Li 0.500 0.794 0.940
Li 0.500 0.560 0.706
Ag 0.000 0.391 0.109
Li 0.500 0.294 0.560

crystal system: tetragonal
formation enthalpy at 0 K: -169 meV/atom


Cs2KBi3Pb4: optimized geometry, GGA-PBE.

Unit cell a=5.544 b=5.544 c=13.788 alpha=90.00 beta=90.00 gamma=90.00
Element x y z (fractional)
Pb 0.500 0.000 0.641
Pb 0.000 0.500 0.359
Cs 0.500 0.000 0.244
Bi 0.000 0.000 0.500
Bi 0.000 0.500 0.130
Pb 0.500 0.500 0.000
Pb 0.000 0.000 0.000
Bi 0.500 0.000 0.870
K 0.500 0.500 0.500
Cs 0.000 0.500 0.756

crystal system: tetragonal
formation enthalpy at 0 K: -168 meV/atom


Mg2SnI2: optimized geometry, GGA-PBE.

Unit cell a=5.782 b=5.782 c=6.416 alpha=63.22 beta=63.22 gamma=90.00
Element x y z (fractional)
I 0.676 0.676 0.648
I 0.324 0.324 0.352
Mg 0.750 0.250 0.500
Sn 0.000 0.000 0.000
Mg 0.250 0.750 0.500

crystal system: tetragonal
energy relative to the lowest polymorph listed for this composition: 7 meV per atom


HoZnTe2: optimized geometry, GGA-PBE.

Unit cell a=4.395 b=4.395 c=9.130 alpha=76.07 beta=76.07 gamma=60.00
Element x y z (fractional)
Zn 0.000 0.000 0.000
Te 0.101 0.101 0.696
Te 0.899 0.899 0.304
Ho 0.500 0.500 0.500

crystal system: trigonal
energy relative to the lowest polymorph listed for this composition: 132 meV per atom


CeGa2PbAu5: optimized geometry, GGA-PBE.

Unit cell a=4.628 b=4.628 c=8.860 alpha=90.00 beta=90.00 gamma=90.00
Site moments in Bohr magnetons follow the coordinates.
Element x y z (fractional)
Au 0.000 0.500 0.268  0.00
Ga 0.500 0.500 0.141  0.00
Au 0.500 0.000 0.732  0.00
Pb 0.000 0.000 0.500  0.00
Au 0.500 0.000 0.268  0.00
Au 0.500 0.500 0.500  0.00
Au 0.000 0.500 0.732  0.00
Ga 0.500 0.500 0.859  0.00
Ce 0.000 0.000 0.000  0.89

crystal system: tetragonal
formation enthalpy at 0 K: -341 meV/atom


La3Nd4Dy5: optimized geometry, GGA-PBE.

Unit cell a=6.054 b=8.685 c=9.835 alpha=105.59 beta=72.08 gamma=69.60
Element x y z (fractional)
La 0.000 0.500 0.500
Nd 0.828 0.966 0.379
Dy 0.783 0.545 0.889
Dy 0.500 0.500 0.500
La 0.520 0.689 0.271
Dy 0.625 0.946 0.803
La 0.480 0.311 0.729
Dy 0.375 0.054 0.197
Dy 0.217 0.455 0.111
Nd 0.140 0.776 0.944
Nd 0.860 0.224 0.056
Nd 0.172 0.034 0.621

crystal system: monoclinic
formation enthalpy at 0 K: 220 meV/atom
energy relative to the lowest polymorph listed for this composition: 200 meV per atom


K3CoBr6: optimized geometry, GGA-PBE.

Unit cell a=6.744 b=10.942 c=10.942 alpha=103.84 beta=90.00 gamma=90.00
Site moments in Bohr magnetons follow the coordinates.
Element x y z (fractional)
K 0.440 0.391 0.609  0.00
Br 0.707 0.659 0.669  0.07
Br 0.666 0.596 0.117  0.14
Br 0.707 0.331 0.341  0.07
Br 0.207 0.669 0.659  0.07
K 0.471 0.924 0.704  0.00
Br 0.207 0.341 0.331  0.07
Br 0.636 0.934 0.066  0.14
K 0.471 0.296 0.076  0.00
Br 0.166 0.404 0.883  0.14
Br 0.166 0.117 0.596  0.14
K 0.971 0.704 0.924  0.00
K 0.940 0.609 0.391  0.00
Br 0.666 0.883 0.404  0.14
Br 0.186 0.790 0.210  0.13
Br 0.136 0.066 0.934  0.14
Co 0.036 0.199 0.801  2.49
Co 0.536 0.801 0.199  2.49
K 0.971 0.076 0.296  0.00
Br 0.686 0.210 0.790  0.13

crystal system: orthorhombic
energy relative to the lowest polymorph listed for this composition: 0 meV per atom